# RbCdPdBr6 (PBE-GGA, optimized geometry)
data_RbCdPdBr6
_chemical_formula_sum 'Rb1 Cd1 Pd1 Br6'
_symmetry_space_group_name_H-M 'P 1'
_symmetry_Int_Tables_number 1
_cell_length_a 6.923
_cell_length_b 6.928
_cell_length_c 7.692
_cell_angle_alpha 91.37
_cell_angle_beta 91.48
_cell_angle_gamma 116.75
loop_
_symmetry_equiv_pos_as_xyz
'x,y,z'
loop_
_atom_site_label
_atom_site_fract_x
_atom_site_fract_y
_atom_site_fract_z
_atom_site_occupancy
Rb1 0.000 0.000 0.000 1
Cd1 0.324 0.677 0.500 1
Pd1 0.669 0.330 0.500 1
Br1 0.382 0.352 0.309 1
Br2 0.392 0.017 0.719 1
Br3 0.645 0.017 0.312 1
Br4 0.648 0.617 0.692 1
Br5 0.982 0.609 0.282 1
Br6 0.983 0.354 0.688 1
# E: -2.663 eV per atom
# Formation energy from raw total energies: -762 meV per atom
# Calculated volume: 36.6 A^3/atom